This record from Alexandria describes DyEr3Zr after structural relaxation. The functional is GGA-PBE.

Cell: 5.954 6.940 7.637 Å, 76.95 75.45 73.22°
Fractional positions:
Dy (0.094, 0.163, 0.289)
Dy (0.906, 0.837, 0.711)
Er (0.102, 0.646, 0.285)
Er (0.309, 0.941, 0.901)
Er (0.497, 0.740, 0.499)
Er (0.503, 0.260, 0.501)
Er (0.691, 0.059, 0.099)
Er (0.898, 0.354, 0.715)
Zr (0.311, 0.456, 0.903)
Zr (0.689, 0.544, 0.097)

Results
M_tot   0.00 μB per atom
Symmetry   No. 2
Formation enthalpy at 0 K   62 meV/atom
DOS at the Fermi energy   1.285 states/eV/atom
Raw total energy   -5.31 eV per atom

This record from Alexandria describes MnCoAs6 after structural relaxation. The functional is GGA-PBE.

Cell: 7.233 7.233 8.397 Å, 124.95 124.95 70.60°
Fractional positions:
Mn (0.000, 0.500, 0.000)
Mn (0.500, 0.000, 0.000)
Co (0.000, 0.500, 0.500)
Co (0.500, 0.000, 0.500)
As (0.145, 0.845, 0.651)
As (0.155, 0.855, 0.349)
As (0.192, 0.507, 0.845)
As (0.338, 0.338, 0.490)
As (0.349, 0.349, 0.201)
As (0.493, 0.808, 0.155)
As (0.507, 0.192, 0.845)
As (0.651, 0.651, 0.799)
As (0.662, 0.662, 0.510)
As (0.808, 0.493, 0.155)
As (0.845, 0.145, 0.651)
As (0.855, 0.155, 0.349)

Results
M_tot   0.25 μB per atom
Symmetry   No. 12
Formation enthalpy at 0 K   -199 meV/atom
DOS at the Fermi energy   0.454 states/eV/atom
Raw total energy   -5.72 eV per atom

This record from Alexandria describes Cs2HoO2 after structural relaxation. The functional is GGA-PBE.

Cell: 12.616 12.616 7.008 Å, 106.10 106.10 29.21°
Fractional positions:
Cs (0.088, 0.088, 0.089)
Cs (0.320, 0.320, 0.319)
Cs (0.680, 0.680, 0.681)
Cs (0.912, 0.912, 0.911)
Ho (0.251, 0.749, 0.500)
Ho (0.749, 0.251, 0.500)
O (0.000, 0.000, 0.290)
O (0.000, 0.000, 0.710)
O (0.438, 0.438, 0.439)
O (0.562, 0.562, 0.561)

Results
M_tot   0.00 μB per atom
Symmetry   No. 12
DOS at the Fermi energy   0.290 states/eV/atom
Formation energy (no corrections)   -1.9884 eV/atom
Raw total energy   -5.23 eV per atom

This record from Alexandria describes Ca2Hg7Pb2 after structural relaxation. The functional is GGA-PBE.

Cell: 6.665 6.665 8.148 Å, 90.00 90.00 103.84°
Fractional positions:
Ca (0.197, 0.803, 0.000)
Ca (0.803, 0.197, 0.000)
Hg (0.000, 0.000, 0.285)
Hg (0.000, 0.000, 0.715)
Hg (0.000, 0.500, 0.289)
Hg (0.000, 0.500, 0.711)
Hg (0.500, 0.000, 0.289)
Hg (0.500, 0.000, 0.711)
Hg (0.500, 0.500, 0.000)
Pb (0.316, 0.316, 0.500)
Pb (0.684, 0.684, 0.500)

Results
M_tot   0.00 μB per atom
Symmetry   No. 65
Formation enthalpy at 0 K   -88 meV/atom
DOS at the Fermi energy   0.679 states/eV/atom
Raw total energy   -1.32 eV per atom

This record from Alexandria describes La4TbMg after structural relaxation. The functional is GGA-PBE.

Cell: 6.299 6.299 12.308 Å, 104.95 104.95 60.08°
Fractional positions:
La (0.158, 0.680, 0.503)
La (0.253, 0.410, 0.751)
La (0.320, 0.842, 0.997)
La (0.410, 0.253, 0.251)
La (0.590, 0.747, 0.749)
La (0.680, 0.158, 0.003)
La (0.747, 0.590, 0.249)
La (0.842, 0.320, 0.497)
Tb (0.000, 0.500, 0.000)
Tb (0.500, 0.000, 0.500)
Mg (0.087, 0.913, 0.250)
Mg (0.913, 0.087, 0.750)

Results
M_tot   0.00 μB per atom
Symmetry   No. 15
Formation enthalpy at 0 K   -2 meV/atom
DOS at the Fermi energy   1.366 states/eV/atom
Raw total energy   -4.32 eV per atom

This record from Alexandria describes Sb2PtAu after structural relaxation. The functional is GGA-PBE.

Cell: 4.241 4.241 9.405 Å, 90.00 90.00 90.00°
Fractional positions:
Sb (0.000, 0.000, 0.000)
Sb (0.000, 0.500, 0.250)
Sb (0.500, 0.000, 0.750)
Sb (0.500, 0.500, 0.500)
Pt (0.000, 0.000, 0.500)
Pt (0.500, 0.500, 0.000)
Au (0.000, 0.500, 0.750)
Au (0.500, 0.000, 0.250)

Results
M_tot   0.00 μB per atom
Symmetry   No. 119
DOS at the Fermi energy   0.603 states/eV/atom
Formation energy (no corrections)   0.0987 eV/atom
Raw total energy   -4.29 eV per atom

This record from Alexandria describes Ca6Ag23 after structural relaxation. The functional is GGA-PBE.

Cell: 9.589 9.589 9.589 Å, 60.00 60.00 60.00°
Fractional positions:
Ca (0.216, 0.216, 0.784)
Ca (0.216, 0.784, 0.216)
Ca (0.216, 0.784, 0.784)
Ca (0.784, 0.216, 0.216)
Ca (0.784, 0.216, 0.784)
Ca (0.784, 0.784, 0.216)
Ag (0.000, 0.000, 0.500)
Ag (0.000, 0.500, 0.000)
Ag (0.000, 0.500, 0.500)
Ag (0.137, 0.621, 0.621)
Ag (0.169, 0.169, 0.169)
Ag (0.169, 0.169, 0.492)
Ag (0.169, 0.492, 0.169)
Ag (0.379, 0.379, 0.379)
Ag (0.379, 0.379, 0.863)
Ag (0.379, 0.863, 0.379)
Ag (0.492, 0.169, 0.169)
Ag (0.500, 0.000, 0.000)
Ag (0.500, 0.000, 0.500)
Ag (0.500, 0.500, 0.000)
Ag (0.500, 0.500, 0.500)
Ag (0.508, 0.831, 0.831)
Ag (0.621, 0.137, 0.621)
Ag (0.621, 0.621, 0.137)
Ag (0.621, 0.621, 0.621)
Ag (0.831, 0.508, 0.831)
Ag (0.831, 0.831, 0.508)
Ag (0.831, 0.831, 0.831)
Ag (0.863, 0.379, 0.379)

Results
M_tot   0.00 μB per atom
Symmetry   No. 225
Formation enthalpy at 0 K   -176 meV/atom
DOS at the Fermi energy   0.559 states/eV/atom
Raw total energy   -2.85 eV per atom

This record from Alexandria describes La3GaO after structural relaxation. The functional is GGA-PBE.

Cell: 9.248 9.248 3.817 Å, 90.00 90.00 131.27°
Fractional positions:
La (0.000, 0.000, 0.000)
La (0.105, 0.393, 0.500)
La (0.393, 0.105, 0.500)
La (0.500, 0.500, 0.000)
La (0.607, 0.895, 0.500)
La (0.895, 0.607, 0.500)
Ga (0.251, 0.749, 0.000)
Ga (0.749, 0.251, 0.000)
O (0.250, 0.251, 0.500)
O (0.750, 0.749, 0.500)

Results
M_tot   0.00 μB per atom
Symmetry   No. 65
DOS at the Fermi energy   1.183 states/eV/atom
Formation energy (no corrections)   -1.3236 eV/atom
Raw total energy   -5.88 eV per atom

This record from Alexandria describes RbNa2V2 after structural relaxation. The functional is GGA-PBE.

Cell: 9.694 9.694 3.187 Å, 90.00 90.00 90.00°
Fractional positions:
Rb (0.000, 0.000, 0.000)
Rb (0.500, 0.500, 0.000)
Na (0.206, 0.294, 0.000)
Na (0.294, 0.794, 0.000)
Na (0.706, 0.206, 0.000)
Na (0.794, 0.706, 0.000)
V (0.066, 0.566, 0.500)
V (0.434, 0.066, 0.500)
V (0.566, 0.934, 0.500)
V (0.934, 0.434, 0.500)

Results
M_tot   0.00 μB per atom
Symmetry   No. 127
Formation enthalpy at 0 K   860 meV/atom
DOS at the Fermi energy   0.534 states/eV/atom
Raw total energy   -3.51 eV per atom

This record from Alexandria describes Be2AuI after structural relaxation. The functional is GGA-PBE.

Cell: 4.039 4.039 17.630 Å, 90.00 90.00 120.00°
Fractional positions:
Be (0.000, 0.000, 0.139)
Be (0.000, 0.000, 0.861)
Be (0.333, 0.667, 0.528)
Be (0.333, 0.667, 0.805)
Be (0.667, 0.333, 0.195)
Be (0.667, 0.333, 0.472)
Au (0.000, 0.000, 0.500)
Au (0.333, 0.667, 0.167)
Au (0.667, 0.333, 0.833)
I (0.000, 0.000, 0.000)
I (0.333, 0.667, 0.667)
I (0.667, 0.333, 0.333)

Results
M_tot   0.00 μB per atom
Symmetry   No. 166
DOS at the Fermi energy   0.219 states/eV/atom
Formation energy (no corrections)   0.0091 eV/atom
Raw total energy   -3.06 eV per atom

This record from Alexandria describes PmHf2Pa after structural relaxation. The functional is GGA-PBE.

Cell: 3.844 3.844 7.124 Å, 90.00 90.00 90.00°
Fractional positions:
Pm (0.000, 0.000, 0.000)
Hf (0.500, 0.500, 0.294)
Hf (0.500, 0.500, 0.706)
Pa (0.000, 0.000, 0.500)

Results
M_tot   0.00 μB per atom
Symmetry   No. 123
Formation enthalpy at 0 K   195 meV/atom
DOS at the Fermi energy   1.496 states/eV/atom
Raw total energy   -8.34 eV per atom

This record from Alexandria describes V2Au2N after structural relaxation. The functional is GGA-PBE.

Cell: 6.280 6.280 4.081 Å, 90.00 90.00 90.00°
Fractional positions:
V (0.110, 0.390, 0.000)
V (0.390, 0.890, 0.000)
V (0.610, 0.110, 0.000)
V (0.890, 0.610, 0.000)
Au (0.182, 0.682, 0.500)
Au (0.318, 0.182, 0.500)
Au (0.682, 0.818, 0.500)
Au (0.818, 0.318, 0.500)
N (0.000, 0.000, 0.500)
N (0.500, 0.500, 0.500)

Results
M_tot   0.18 μB per atom
Symmetry   No. 127
DOS at the Fermi energy   0.782 states/eV/atom
Formation energy (no corrections)   1.0312 eV/atom
Raw total energy   -5.59 eV per atom

What is the M_tot in the eighth record?
0.00 μB per atom

Among the records above, which one has the lowest DOS at the Fermi energy?
Be2AuI

Which value of M_tot does entry 12 give?
0.18 μB per atom